No. 1
TmSi2Os2 | meta-GGA SCAN | PBEsol geometry

abc: 5.5916 5.5916 5.5916
angles: 136.90 136.90 62.60
Atoms (fractional coordinates):
Tm: 0.0000 0.0000 0.0000
Si: 0.3746 0.3746 0.0000
Si: 0.6254 0.6254 0.0000
Os: 0.2500 0.7500 0.5000
Os: 0.7500 0.2500 0.5000

SG = No. 139
Raw formation energy = -803 meV per atom



No. 2
USi2Os2 | meta-GGA SCAN | PBEsol geometry

abc: 5.5657 5.5657 5.5657
angles: 136.64 136.64 63.00
Atoms (fractional coordinates):
U: 0.0000 0.0000 0.0000
Si: 0.3765 0.3765 0.0000
Si: 0.6235 0.6235 0.0000
Os: 0.2500 0.7500 0.5000
Os: 0.7500 0.2500 0.5000

SG = No. 139
Raw formation energy = -539 meV per atom



No. 3
SiOsW | meta-GGA SCAN | PBEsol geometry

abc: 5.3499 5.3499 5.3499
angles: 148.80 148.80 44.71
Atoms (fractional coordinates):
Si: 0.0000 0.0000 0.0000
Os: 0.3565 0.3565 0.0000
W: 0.6702 0.6702 0.0000

SG = No. 107
Raw formation energy = -236 meV per atom



No. 4
SiOs2W | meta-GGA SCAN | PBEsol geometry

abc: 2.8605 2.8605 6.6832
angles: 90.00 90.00 90.00
Atoms (fractional coordinates):
Si: 0.0000 0.0000 0.0000
Os: 0.5000 0.5000 0.2191
Os: 0.5000 0.5000 0.7809
W: 0.0000 0.0000 0.5000

SG = No. 123
Raw formation energy = -265 meV per atom



No. 5
Si2OsW | meta-GGA SCAN | PBEsol geometry

abc: 2.7728 2.7728 7.5932
angles: 90.00 90.00 90.00
Atoms (fractional coordinates):
Si: 0.0000 0.0000 0.0000
Si: 0.5000 0.5000 0.2953
Os: 0.5000 0.5000 0.7856
W: 0.0000 0.0000 0.5439

SG = No. 99
Raw formation energy = 219 meV per atom



No. 6
Si2OsW | meta-GGA SCAN | PBEsol geometry

abc: 4.8467 4.8467 2.8082
angles: 105.27 105.27 108.16
Atoms (fractional coordinates):
Si: 0.0000 0.5000 0.0000
Si: 0.5000 0.0000 0.0000
Os: 0.0000 0.0000 0.5000
W: 0.5000 0.5000 0.5000

SG = No. 12
Raw formation energy = 169 meV per atom